Entry 1:
# V2PRhSe

Crystalline V2PRhSe at its relaxed geometry (PBE, the Alexandria database).

Cell and atoms, written as POSCAR:
```
V2PRhSe
1.0
4.826 0.000 0.000
0.000 4.826 0.000
0.000 0.000 4.521
V P Rh Se
2 1 1 1
Cartesian
0.000 2.413 0.000 V
2.413 0.000 0.000 V
0.000 0.000 2.260 P
2.413 2.413 0.000 Rh
2.413 2.413 2.260 Se
```

Calculated values
- Total moment: 4.87 μB per formula unit
- Energy: -5.9472 eV per atom
- Symmetry: No. 123


Entry 2:
# Ti2TlNiN

Crystalline Ti2TlNiN at its relaxed geometry (PBE, the Alexandria database).

Cell and atoms, written as POSCAR:
```
Ti2TlNiN
1.0
4.966 0.000 0.000
0.000 4.966 0.000
0.000 0.000 3.381
Ti Tl Ni N
2 1 1 1
Cartesian
0.000 2.483 0.000 Ti
2.483 0.000 0.000 Ti
0.000 0.000 1.690 Tl
2.483 2.483 0.000 Ni
2.483 2.483 1.690 N
```

Calculated values
- Total moment: 0.00 μB per formula unit
- Energy: -6.0184 eV per atom
- Symmetry: No. 123


Entry 3:
# LiCoSi2

Crystalline LiCoSi2 at its relaxed geometry (PBE, the Alexandria database).

Cell and atoms, written as POSCAR:
```
LiCoSi2
1.0
3.612 0.000 0.000
0.000 3.612 0.000
0.000 0.000 3.518
Li Co Si
1 1 2
Cartesian
0.000 0.000 0.000 Li
1.806 1.806 0.000 Co
0.000 1.806 1.759 Si
1.806 0.000 1.759 Si
```

Calculated values
- Distance to the lowest polymorph of the same formula: 0.133 eV/atom
- Total moment: 0.00 μB per formula unit
- Energy: -5.1225 eV per atom
- Symmetry: No. 123


Entry 4:
# La3PmPt

Crystalline La3PmPt at its relaxed geometry (PBE, the Alexandria database).

Cell and atoms, written as POSCAR:
```
La3PmPt
1.0
6.248 -1.963 0.000
6.248 1.963 0.000
-5.695 0.000 13.071
La Pm Pt
6 2 2
Cartesian
0.000 0.000 0.000 La
-1.847 0.000 4.887 La
-0.091 0.000 10.032 La
3.794 0.000 1.809 La
7.230 0.000 3.049 La
7.011 0.000 6.897 La
3.568 0.000 8.071 Pm
3.379 0.000 11.776 Pm
-3.945 0.000 9.849 Pt
2.053 0.000 5.085 Pt
```

Calculated values
- Distance to the lowest polymorph of the same formula: 0.000 eV/atom
- Total moment: 0.00 μB per formula unit
- Energy relative to the elements: -0.49 eV/atom
- Energy: -5.6042 eV per atom
- Symmetry: No. 8


Entry 5:
# CoNi3I

Crystalline CoNi3I at its relaxed geometry (PBE, the Alexandria database).

Cell and atoms, written as POSCAR:
```
CoNi3I
1.0
4.388 0.000 0.000
0.000 4.388 0.000
0.000 0.000 4.388
Co Ni I
1 3 1
Cartesian
0.000 0.000 0.000 Co
0.000 0.000 2.194 Ni
0.000 2.194 0.000 Ni
2.194 0.000 0.000 Ni
2.194 2.194 2.194 I
```

Calculated values
- Distance to the lowest polymorph of the same formula: 0.000 eV/atom
- Total moment: 3.92 μB per formula unit
- Energy: -4.2400 eV per atom
- Symmetry: No. 221


Entry 6:
# SmPd7Au12

Crystalline SmPd7Au12 at its relaxed geometry (PBE, the Alexandria database).

Cell and atoms, written as POSCAR:
```
SmPd7Au12
1.0
-4.883 4.883 4.883
4.883 -4.883 4.883
4.883 4.883 -4.883
Sm Pd Au
1 7 12
Cartesian
0.000 0.000 0.000 Sm
2.441 2.441 -2.441 Pd
2.441 -2.441 2.441 Pd
4.883 0.000 0.000 Pd
-2.441 2.441 2.441 Pd
0.000 4.883 0.000 Pd
0.000 0.000 4.883 Pd
2.441 2.441 2.441 Pd
4.883 -2.241 3.426 Au
2.642 1.457 0.000 Au
7.124 1.457 0.000 Au
3.426 4.883 -2.241 Au
1.457 0.000 2.642 Au
0.000 2.642 1.457 Au
4.883 2.241 3.426 Au
3.426 4.883 2.241 Au
1.457 0.000 7.124 Au
-2.241 3.426 4.883 Au
2.241 3.426 4.883 Au
0.000 7.124 1.457 Au
```

Calculated values
- Total moment: 0.00 μB per formula unit
- Energy relative to the elements: 0.30 eV/atom
- Energy: -3.7154 eV per atom
- Symmetry: No. 204


Entry 7:
# Zr2CrP

Crystalline Zr2CrP at its relaxed geometry (PBE, the Alexandria database).

Cell and atoms, written as POSCAR:
```
Zr2CrP
1.0
0.000 3.188 3.188
3.188 0.000 3.188
3.188 3.188 0.000
Zr Cr P
2 1 1
Cartesian
0.000 0.000 0.000 Zr
1.594 1.594 1.594 Zr
4.781 4.781 4.781 Cr
3.188 3.188 3.188 P
```

Calculated values
- Total moment: 0.00 μB per formula unit
- Energy relative to the elements: 0.04 eV/atom
- Energy: -7.9957 eV per atom
- Symmetry: No. 216


Entry 8:
# MnAl2Fe

Crystalline MnAl2Fe at its relaxed geometry (PBE, the Alexandria database).

Cell and atoms, written as POSCAR:
```
MnAl2Fe
1.0
0.000 2.933 2.933
2.933 0.000 2.933
2.933 2.933 0.000
Mn Al Fe
1 2 1
Cartesian
0.000 0.000 0.000 Mn
2.933 2.933 2.933 Al
4.399 4.399 4.399 Al
1.466 1.466 1.466 Fe
```

Calculated values
- Total moment: 3.20 μB per formula unit
- Energy relative to the elements: -0.15 eV/atom
- Energy: -6.4275 eV per atom
- Symmetry: No. 216